[1]
# GGA-PBE CaZnP2, relaxed
data_CaZnP2
_chemical_formula_sum 'Ca2 Zn2 P4'
_cell_length_a 7.437
_cell_length_b 3.726
_cell_length_c 5.889
_cell_angle_alpha 90.00
_cell_angle_beta 104.98
_cell_angle_gamma 90.00
_symmetry_space_group_name_H-M 'C 1 2/m 1'
_symmetry_Int_Tables_number 12
_symmetry_space_group_name_Hall '-C 2y'
loop_
_atom_site_label
_atom_site_fract_x
_atom_site_fract_y
_atom_site_fract_z
Ca1 0.000 0.000 0.000
Zn1 0.000 0.500 0.500
P1 0.243 0.000 0.692
# DFT formation energy	-0.2744	eV/atom

[2]
# GGA-PBE Li12Ag3H5, relaxed
data_Li12Ag3H5
_chemical_formula_sum 'Li96 Ag24 H40'
_cell_length_a 13.073
_cell_length_b 13.073
_cell_length_c 13.073
_cell_angle_alpha 90.00
_cell_angle_beta 90.00
_cell_angle_gamma 90.00
_symmetry_space_group_name_H-M 'I a -3 d'
_symmetry_Int_Tables_number 230
_symmetry_space_group_name_Hall '-I 4bd 2c 3'
loop_
_atom_site_label
_atom_site_fract_x
_atom_site_fract_y
_atom_site_fract_z
Li1 0.041 0.045 0.647
Ag1 0.000 0.250 0.125
H1 0.000 0.000 0.000
H2 0.000 0.250 0.375
# total energy	-0.094	hartree per atom

[3]
# GGA-PBE Zn4Ni15Mo, relaxed
data_Zn4Ni15Mo
_chemical_formula_sum 'Zn4 Ni15 Mo1'
_cell_length_a 3.590
_cell_length_b 3.590
_cell_length_c 17.919
_cell_angle_alpha 90.00
_cell_angle_beta 90.00
_cell_angle_gamma 90.00
_symmetry_space_group_name_H-M 'P 4/m m m'
_symmetry_Int_Tables_number 123
_symmetry_space_group_name_Hall '-P 4 2'
loop_
_atom_site_label
_atom_site_fract_x
_atom_site_fract_y
_atom_site_fract_z
Zn1 0.000 0.000 0.100
Zn2 0.000 0.000 0.297
Ni1 0.000 0.500 0.000
Ni2 0.000 0.500 0.199
Ni3 0.000 0.500 0.400
Ni4 0.500 0.500 0.099
Ni5 0.500 0.500 0.299
Ni6 0.500 0.500 0.500
Mo1 0.000 0.000 0.500
# DFT formation energy	-0.1192	eV/atom

[4]
# GGA-PBE K2NaOsCl, relaxed
data_K2NaOsCl
_chemical_formula_sum 'K2 Na1 Os1 Cl1'
_cell_length_a 6.142
_cell_length_b 6.142
_cell_length_c 5.505
_cell_angle_alpha 90.00
_cell_angle_beta 90.00
_cell_angle_gamma 90.00
_symmetry_space_group_name_H-M 'P 4/m m m'
_symmetry_Int_Tables_number 123
_symmetry_space_group_name_Hall '-P 4 2'
loop_
_atom_site_label
_atom_site_fract_x
_atom_site_fract_y
_atom_site_fract_z
K1 0.000 0.500 0.000
Na1 0.000 0.000 0.500
Os1 0.000 0.000 0.000
Cl1 0.500 0.500 0.500
# formation energy (no corrections)	0.579	eV/atom

[5]
# GGA-PBE KRuPb2, relaxed
data_KRuPb2
_chemical_formula_sum 'K1 Ru1 Pb2'
_cell_length_a 3.358
_cell_length_b 4.250
_cell_length_c 8.666
_cell_angle_alpha 90.00
_cell_angle_beta 90.00
_cell_angle_gamma 90.00
_symmetry_space_group_name_H-M 'P m m 2'
_symmetry_Int_Tables_number 25
_symmetry_space_group_name_Hall 'P 2 -2'
loop_
_atom_site_label
_atom_site_fract_x
_atom_site_fract_y
_atom_site_fract_z
K1 0.000 0.000 0.000
Ru1 0.500 0.500 0.613
Pb1 0.000 0.000 0.605
Pb2 0.500 0.500 0.300
# DFT formation energy	0.3246	eV/atom

[6]
# GGA-PBE Ca2Se, relaxed
data_Ca2Se
_chemical_formula_sum 'Ca2 Se1'
_cell_length_a 5.3304
_cell_length_b 5.3304
_cell_length_c 3.5951
_cell_angle_alpha 90.00
_cell_angle_beta 90.00
_cell_angle_gamma 120.00
_symmetry_space_group_name_H-M 'P 6/m m m'
_symmetry_Int_Tables_number 191
_symmetry_space_group_name_Hall '-P 6 2'
loop_
_atom_site_label
_atom_site_fract_x
_atom_site_fract_y
_atom_site_fract_z
Ca1 0.3333 0.6667 0.0000
Se1 0.0000 0.0000 0.5000
# formation energy (no corrections)	-0.222	eV/atom

[7]
# GGA-PBE Tl2ZnPt, relaxed
data_Tl2ZnPt
_chemical_formula_sum 'Tl6 Zn3 Pt3'
_cell_length_a 3.3037
_cell_length_b 3.3037
_cell_length_c 28.3462
_cell_angle_alpha 90.00
_cell_angle_beta 90.00
_cell_angle_gamma 120.00
_symmetry_space_group_name_H-M 'R 3 m'
_symmetry_Int_Tables_number 160
_symmetry_space_group_name_Hall 'R 3 -2"'
loop_
_atom_site_label
_atom_site_fract_x
_atom_site_fract_y
_atom_site_fract_z
Tl1 0.0000 0.0000 0.0000
Tl2 0.0000 0.0000 0.2269
Zn1 0.0000 0.0000 0.7540
Pt1 0.0000 0.0000 0.4815
# DFT formation energy	0.0557	eV/atom

[8]
# GGA-PBE LaAs2Os, relaxed
data_LaAs2Os
_chemical_formula_sum 'La4 As8 Os4'
_cell_length_a 6.796
_cell_length_b 6.796
_cell_length_c 6.796
_cell_angle_alpha 90.00
_cell_angle_beta 90.00
_cell_angle_gamma 90.00
_symmetry_space_group_name_H-M 'F m -3 m'
_symmetry_Int_Tables_number 225
_symmetry_space_group_name_Hall '-F 4 2 3'
loop_
_atom_site_label
_atom_site_fract_x
_atom_site_fract_y
_atom_site_fract_z
La1 0.000 0.000 0.000
As1 0.250 0.250 0.250
Os1 0.000 0.000 0.500
# DFT formation energy	-0.1614	eV/atom

[9]
# GGA-PBE Ce4Ge2AsS, relaxed
data_Ce4Ge2AsS
_chemical_formula_sum 'Ce4 Ge2 As1 S1'
_cell_length_a 7.239
_cell_length_b 4.191
_cell_length_c 7.249
_cell_angle_alpha 90.00
_cell_angle_beta 109.54
_cell_angle_gamma 90.00
_symmetry_space_group_name_H-M 'P 1 2/m 1'
_symmetry_Int_Tables_number 10
_symmetry_space_group_name_Hall '-P 2y'
loop_
_atom_site_label
_atom_site_fract_x
_atom_site_fract_y
_atom_site_fract_z
Ce1 0.245 0.000 0.245
Ce2 0.247 0.500 0.752
Ge1 0.500 0.000 0.000
Ge2 0.500 0.500 0.500
As1 0.000 0.000 0.500
S1 0.000 0.500 0.000
# formation energy (no corrections)	-1.205	eV/atom

[10]
# GGA-PBE CaY2GeB, relaxed
data_CaY2GeB
_chemical_formula_sum 'Ca1 Y2 Ge1 B1'
_cell_length_a 5.618
_cell_length_b 5.618
_cell_length_c 4.348
_cell_angle_alpha 90.00
_cell_angle_beta 90.00
_cell_angle_gamma 90.00
_symmetry_space_group_name_H-M 'P 4/m m m'
_symmetry_Int_Tables_number 123
_symmetry_space_group_name_Hall '-P 4 2'
loop_
_atom_site_label
_atom_site_fract_x
_atom_site_fract_y
_atom_site_fract_z
Ca1 0.000 0.000 0.000
Y1 0.000 0.500 0.000
Ge1 0.500 0.500 0.500
B1 0.000 0.000 0.500
# DFT formation energy	1.4077	eV/atom

[11]
# GGA-PBE LaFeAg2, relaxed
data_LaFeAg2
_chemical_formula_sum 'La2 Fe2 Ag4'
_cell_length_a 7.996
_cell_length_b 4.608
_cell_length_c 5.550
_cell_angle_alpha 90.00
_cell_angle_beta 118.62
_cell_angle_gamma 90.00
_symmetry_space_group_name_H-M 'C 1 m 1'
_symmetry_Int_Tables_number 8
_symmetry_space_group_name_Hall 'C -2y'
loop_
_atom_site_label
_atom_site_fract_x
_atom_site_fract_y
_atom_site_fract_z
La1 0.000 0.000 0.000
Fe1 0.307 0.500 0.422
Ag1 0.211 0.000 0.633
Ag2 0.481 0.000 0.445
# DFT formation energy	0.1213	eV/atom

[12]
# GGA-PBE BaUSb, relaxed
data_BaUSb
_chemical_formula_sum 'Ba4 U4 Sb4'
_cell_length_a 24.037
_cell_length_b 4.210
_cell_length_c 4.522
_cell_angle_alpha 90.00
_cell_angle_beta 91.70
_cell_angle_gamma 90.00
_symmetry_space_group_name_H-M 'C 1 2/m 1'
_symmetry_Int_Tables_number 12
_symmetry_space_group_name_Hall '-C 2y'
loop_
_atom_site_label
_atom_site_fract_x
_atom_site_fract_y
_atom_site_fract_z
Ba1 0.091 0.000 0.266
U1 0.247 0.500 0.312
Sb1 0.155 0.500 0.787
# formation energy (no corrections)	-0.363	eV/atom